A plane-wave DFT calculation with GGA-PBE was carried out for Pm4Dy19Tm6 after structural relaxation.

Unit cell a=10.7833 b=10.7833 c=10.7833 alpha=109.47 beta=109.47 gamma=109.47
Closest atoms and distances in Å follow each position.
Fractional coordinates of all 29 atoms:
Pm  0.0000  0.0000  0.6417  9 Dy 3.33-3.42
Pm  0.0000  0.6417  0.0000  9 Dy 3.33-3.42
Pm  0.3583  0.3583  0.3583  9 Dy 3.33-3.42
Pm  0.6417  0.0000  0.0000  9 Dy 3.33-3.42
Dy  0.0000  0.0000  0.0000  6 Dy 3.29
Dy  0.0000  0.2639  0.2639  5 Dy 3.29-3.53, 2 Pm 3.33, 2 Tm 3.33
Dy  0.0000  0.7361  0.7361  5 Dy 3.29-3.53, 2 Pm 3.33, 2 Tm 3.33
Dy  0.0108  0.7964  0.3388  2 Tm 3.19-3.55, 2 Pm 3.34-3.42, 2 Dy 3.40-3.53
Dy  0.2036  0.2144  0.5423  2 Tm 3.19-3.55, 2 Pm 3.34-3.42, 2 Dy 3.40-3.53
Dy  0.2144  0.5423  0.2036  2 Tm 3.19-3.55, 2 Pm 3.34-3.42, 2 Dy 3.40-3.53
Dy  0.2639  0.0000  0.2639  5 Dy 3.29-3.53, 2 Pm 3.33, 2 Tm 3.33
Dy  0.2639  0.2639  0.0000  5 Dy 3.29-3.53, 2 Pm 3.33, 2 Tm 3.33
Dy  0.3280  0.7856  0.9892  2 Tm 3.19-3.55, 2 Pm 3.34-3.42, 2 Dy 3.40-3.53
Dy  0.3388  0.0108  0.7964  2 Tm 3.19-3.55, 2 Pm 3.34-3.42, 2 Dy 3.40-3.53
Dy  0.4577  0.6720  0.6612  2 Tm 3.19-3.55, 2 Pm 3.34-3.42, 2 Dy 3.40-3.53
Dy  0.5423  0.2036  0.2144  2 Tm 3.19-3.55, 2 Pm 3.34-3.42, 2 Dy 3.40-3.53
Dy  0.6612  0.4577  0.6720  2 Tm 3.19-3.55, 2 Pm 3.34-3.42, 2 Dy 3.40-3.53
Dy  0.6720  0.6612  0.4577  2 Tm 3.19-3.55, 2 Pm 3.34-3.42, 2 Dy 3.40-3.53
Dy  0.7361  0.0000  0.7361  5 Dy 3.29-3.53, 2 Pm 3.33, 2 Tm 3.33
Dy  0.7361  0.7361  0.0000  5 Dy 3.29-3.53, 2 Pm 3.33, 2 Tm 3.33
Dy  0.7856  0.9892  0.3280  2 Tm 3.19-3.55, 2 Pm 3.34-3.42, 2 Dy 3.40-3.53
Dy  0.7964  0.3388  0.0108  2 Tm 3.19-3.55, 2 Pm 3.34-3.42, 2 Dy 3.40-3.53
Dy  0.9892  0.3280  0.7856  2 Tm 3.19-3.55, 2 Pm 3.34-3.42, 2 Dy 3.40-3.53
Tm  0.1262  0.6262  0.5000  1 Tm 3.14, 4 Dy 3.19-3.33
Tm  0.3738  0.5000  0.8738  1 Tm 3.14, 4 Dy 3.19-3.33
Tm  0.5000  0.1262  0.6262  1 Tm 3.14, 4 Dy 3.19-3.33
Tm  0.5000  0.8738  0.3738  1 Tm 3.14, 4 Dy 3.19-3.33
Tm  0.6262  0.5000  0.1262  1 Tm 3.14, 4 Dy 3.19-3.33
Tm  0.8738  0.3738  0.5000  1 Tm 3.14, 4 Dy 3.19-3.33

Output
Density of states at the Fermi level = 1.53 states/eV/atom
ΔE_f = 0.40 eV/atom
Space-group type = No. 197